An optimized crystal structure of PuTh3, computed with PBE-GGA.

The space group is Fm-3m (No. 225) and the conventional cell measures 7.8954, 7.8954 and 7.8954 Å, with angles of 90.00, 90.00 and 90.00 degrees. The asymmetric unit holds Pu at (0.0000, 0.0000, 0.0000), Th at (0.0000, 0.0000, 0.5000) and Th at (0.2500, 0.2500, 0.2500).

Its volume is 30.8 Å³ per atom. The calculation puts the electronic total energy at -8.95 eV/atom. The calculation puts the total magnetic moment at 6.73 μB per formula unit. The value obtained for the energy relative to the elements is 0.19 eV per atom.

***

An optimized crystal structure of Hg2BiPb, computed with PBE-GGA.

The space group is P4/mmm (No. 123) and the conventional cell measures 3.5665, 3.5665 and 8.8622 Å, with angles of 90.00, 90.00 and 90.00 degrees. The asymmetric unit holds Hg at (0.0000, 0.0000, 0.2472), Bi at (0.5000, 0.5000, 0.5000) and Pb at (0.5000, 0.5000, 0.0000).

Its volume is 28.2 Å³ per atom. The calculation puts the electronic total energy at -1.99 eV/atom. The calculation puts the total magnetic moment at 0.00 μB per formula unit. The value obtained for the energy relative to the elements is 0.06 eV per atom.

***

An optimized crystal structure of Ce2YPu, computed with PBE-GGA.

The space group is R3m (No. 160, hexagonal axes) and the conventional cell measures 3.6451, 3.6451 and 28.0159 Å, with angles of 90.00, 90.00 and 120.00 degrees. The asymmetric unit holds Ce at (0.0000, 0.0000, 0.0000), Ce at (0.0000, 0.0000, 0.1102), Y at (0.0000, 0.0000, 0.5606) and Pu at (0.0000, 0.0000, 0.7213).

Its volume is 26.9 Å³ per atom. The calculation puts the electronic total energy at -7.81 eV/atom. The calculation puts the total magnetic moment at 0.00 μB per formula unit. The value obtained for the energy relative to the elements is 0.35 eV per atom.

***

An optimized crystal structure of CsThAlSe4, computed with PBE-GGA.

The space group is P2_1/m (No. 11) and the conventional cell measures 6.8545, 7.0813 and 9.9708 Å, with angles of 90.00, 108.79 and 90.00 degrees. The asymmetric unit holds Cs at (0.2427, 0.2500, 0.4421), Th at (0.2701, 0.2500, 0.9497), Al at (0.2755, 0.7500, 0.1620), Se at (0.0572, 0.7500, 0.9217), Se at (0.0756, 0.7500, 0.3164) and Se at (0.4843, 0.5084, 0.8041).

Its volume is 32.7 Å³ per atom. The calculation puts the electronic total energy at -5.13 eV/atom. The calculation puts the total magnetic moment at 0.00 μB per formula unit. For the energy relative to the elements, uncorrected, the calculation gives -1419 meV/atom.